Material: GdPaAlOs
Method: DFT, PBE
State: optimized geometry

Cell: 6.8360 6.8360 6.8360 Å, 90.00 90.00 90.00°
Last column: nearest neighbours and their distance in Å.
Element x y z (fractional)
1 Gd 0.0000 0.0000 0.0000  4 Pa 2.96, 4 Al 2.96
2 Gd 0.0000 0.5000 0.5000  4 Pa 2.96, 4 Al 2.96
3 Gd 0.5000 0.0000 0.5000  4 Pa 2.96, 4 Al 2.96
4 Gd 0.5000 0.5000 0.0000  4 Pa 2.96, 4 Al 2.96
5 Pa 0.2500 0.2500 0.2500  4 Os 2.96, 4 Gd 2.96
6 Pa 0.2500 0.7500 0.7500  4 Gd 2.96, 4 Os 2.96
7 Pa 0.7500 0.2500 0.7500  4 Gd 2.96, 4 Os 2.96
8 Pa 0.7500 0.7500 0.2500  4 Gd 2.96, 4 Os 2.96
9 Al 0.2500 0.2500 0.7500  4 Gd 2.96, 4 Os 2.96
10 Al 0.2500 0.7500 0.2500  4 Gd 2.96, 4 Os 2.96
11 Al 0.7500 0.2500 0.2500  4 Gd 2.96, 4 Os 2.96
12 Al 0.7500 0.7500 0.7500  4 Gd 2.96, 4 Os 2.96
13 Os 0.0000 0.0000 0.5000  4 Al 2.96, 4 Pa 2.96
14 Os 0.0000 0.5000 0.0000  4 Al 2.96, 4 Pa 2.96
15 Os 0.5000 0.0000 0.0000  4 Al 2.96, 4 Pa 2.96
16 Os 0.5000 0.5000 0.5000  4 Al 2.96, 4 Pa 2.96

Values from the calculation:
M_tot   32.065 μB per cell
Calculated total energy   -9.80 eV/atom
Energy of formation   -0.161 eV/atom
Space group   No. 216